CdTe | GGA-PBE | relaxed

Values from the calculation:
The total moment comes out at 0.0 μB per cell. Its volume is 56.2 Å³ per cell. The value obtained for the total energy is -4.34 eV per formula unit.

Cell lengths 4.499, 4.499, 4.499 Å; angles 97.13, 97.13, 138.75 degrees
Fractional positions:
Cd  0.000  0.000  0.000
Te  0.750  0.250  0.500


Ba2CaP | GGA-PBE | relaxed

Values from the calculation:
The total moment comes out at 0.8 μB per cell. Its volume is 169.8 Å³ per cell. The value obtained for the total energy is -13.17 eV per formula unit.

Cell lengths 4.007, 4.007, 10.572 Å; angles 90.00, 90.07, 90.00 degrees
Fractional positions:
Ba  0.001  0.000  0.339
Ba  0.999  0.000  0.661
Ca  0.500  0.500  0.000
P  0.500  0.500  0.500


Ba2TcC | GGA-PBE | relaxed

Values from the calculation:
The total moment comes out at 0.5 μB per cell. Its volume is 260.1 Å³ per cell. The value obtained for the total energy is -21.61 eV per formula unit.

Cell lengths 8.311, 8.311, 8.311 Å; angles 93.31, 93.31, 152.18 degrees
Fractional positions:
Ba  0.375  0.178  0.303
Ba  0.822  0.125  0.197
Ba  0.875  0.072  0.697
Ba  0.928  0.625  0.803
Tc  0.250  0.750  0.500
Tc  0.500  0.500  0.000
C  0.000  0.000  0.000
C  0.750  0.250  0.500


PaRuS2 | GGA-PBE | relaxed

Values from the calculation:
The total moment comes out at 0.0 μB per cell. The relative energy among the computed polymorphs comes out at 0.000 kcal/mol of atoms. Its volume is 72.9 Å³ per cell.

Cell lengths 3.802, 4.774, 4.897 Å; angles 62.72, 72.42, 69.51 degrees
Fractional positions:
Pa  0.000  0.000  0.000
Ru  0.645  0.423  0.491
S  0.305  0.299  0.256
S  0.994  0.664  0.651


BeFeRu2 | GGA-PBE | relaxed

Values from the calculation:
The total moment comes out at 3.7 μB per cell. Its volume is 49.9 Å³ per cell. The value obtained for the total energy is -30.19 eV per formula unit.

Cell lengths 2.627, 2.627, 7.899 Å; angles 90.00, 90.00, 113.82 degrees
Fractional positions:
Be  0.000  0.000  0.000
Fe  0.000  0.000  0.500
Ru  0.500  0.500  0.232
Ru  0.500  0.500  0.768


La2EuSc | GGA-PBE | relaxed

Values from the calculation:
The total moment comes out at 7.4 μB per cell. The relative energy among the computed polymorphs comes out at 1.220 kcal/mol of atoms. Its volume is 135.1 Å³ per cell.

Cell lengths 5.231, 5.231, 4.939 Å; angles 90.00, 90.00, 90.00 degrees
Fractional positions:
La  0.000  0.500  0.000
La  0.500  0.000  0.000
Eu  0.000  0.000  0.500
Sc  0.500  0.500  0.500


SnHg2N | GGA-PBE | relaxed

Values from the calculation:
The total moment comes out at 0.0 μB per cell. The relative energy among the computed polymorphs comes out at 0.000 kcal/mol of atoms. Its volume is 194.9 Å³ per cell.

Cell lengths 6.541, 6.541, 6.541 Å; angles 120.98, 120.98, 88.31 degrees
Fractional positions:
Sn  0.000  0.000  0.000
Sn  0.750  0.250  0.500
Hg  0.222  0.625  0.097
Hg  0.375  0.472  0.597
Hg  0.528  0.125  0.903
Hg  0.875  0.778  0.403
N  0.250  0.750  0.500
N  0.500  0.500  0.000


HfZnSiP2 | GGA-PBE | relaxed

Values from the calculation:
The total moment comes out at 0.0 μB per cell. Its volume is 92.7 Å³ per cell. The value obtained for the total energy is -24.82 eV per formula unit.

Cell lengths 4.596, 4.596, 4.390 Å; angles 90.00, 90.00, 90.00 degrees
Fractional positions:
Hf  0.000  0.000  0.000
Zn  0.500  0.500  0.000
Si  0.500  0.500  0.500
P  0.000  0.500  0.500
P  0.500  0.000  0.500


> total moment of number 6 (La2EuSc)?

7.4 μB per cell